Entry from Alexandria via LeMat-Bulk: a relaxed Ti2MoPd crystal (GGA-PBE).

Cell and atoms, written as extended XYZ:
```
8
Lattice="-1.9697 1.9697 8.9019 1.9697 -1.9697 8.9019 1.9697 1.9697 -8.9019" Properties=species:S:1:pos:R:3 pbc="T T T"
Ti 2.9545 0.9509 -2.2255
Ti 0.9509 0.9848 2.2255
Ti -0.9848 1.0188 6.6764
Ti 1.0188 0.9848 11.1274
Mo 0.0000 0.0000 0.0000
Mo 0.0000 1.9697 4.4510
Pd 1.9697 0.0000 4.4510
Pd 0.0000 0.0000 8.9019
```

Values from the calculation:
DFT total energy   -60.74 eV/cell
Formation energy   0.361 eV/atom
SG   I-42d (122)
DOS(E_F)   10.11 states/eV/cell